Here is an optimized crystal structure of Mn3CuNi from the Alexandria database. Energies are from PBE-GGA.

D(E_F), states/eV/cell: 6.6
Calculated formation energy, eV/atom: 1.136

The structure in CIF format:
```
data_Mn3CuNi
_cell_length_a 4.4928
_cell_length_b 4.4928
_cell_length_c 4.4928
_cell_angle_alpha 90.00
_cell_angle_beta 90.00
_cell_angle_gamma 90.00
_space_group_name_H-M_alt 'P m -3 m'
_space_group_IT_number 221
_space_group_name_Hall '-P 4 2 3'
loop_
_atom_site_label
_atom_site_type_symbol
_atom_site_fract_x
_atom_site_fract_y
_atom_site_fract_z
Mn1 Mn 0.0000 0.0000 0.5000
Cu1 Cu 0.0000 0.0000 0.0000
Ni1 Ni 0.5000 0.5000 0.5000
```